{"formula": "CaZn3AgPt", "functional": "PBE-GGA", "state": "relaxed", "lattice_angstrom": [[5.189, 0.000, 0.000], [0.000, 5.587, 0.000], [0.000, -2.793, 8.084]], "species": ["Ca", "Ca", "Zn", "Zn", "Zn", "Zn", "Zn", "Zn", "Ag", "Ag", "Pt", "Pt"], "fractional_positions": [[0.750, 0.279, 0.557], [0.250, 0.721, 0.443], [0.250, 0.131, 0.263], [0.000, 0.268, 0.000], [0.500, 0.732, 0.000], [0.500, 0.268, 0.000], [0.000, 0.732, 0.000], [0.750, 0.869, 0.737], [0.250, 0.368, 0.737], [0.750, 0.632, 0.263], [0.250, 0.894, 0.787], [0.750, 0.106, 0.213]], "delta_e_f_ev_per_atom": -0.292, "sg": "No. 63", "magmom_total_mub_per_cell": 0.0}